w) Below is a relaxed PdN2O2 crystal, with properties calculated at the PBE level.

As for the symmetry: P4/mmm, No. 123. Its crystal system is tetragonal. As for the size of the total moment: 0.92 μB per formula unit.

Geometry as CIF:
```
data_PdN2O2
_chemical_formula_sum 'Pd1 N2 O2'
_cell_length_a 3.643
_cell_length_b 3.643
_cell_length_c 3.497
_cell_angle_alpha 90.00
_cell_angle_beta 90.00
_cell_angle_gamma 90.00
_symmetry_space_group_name_H-M 'P 1'
_symmetry_Int_Tables_number 1
_symmetry_space_group_name_Hall 'P 1'
loop_
_atom_site_label
_atom_site_type_symbol
_atom_site_fract_x
_atom_site_fract_y
_atom_site_fract_z
N1 N 0.500 0.000 0.000
O1 O 0.000 0.000 0.500
O2 O 0.000 0.000 0.000
Pd1 Pd 0.500 0.500 0.500
N2 N 0.000 0.500 0.000
```

***

x) Below is a relaxed PdN2O2 crystal, with properties calculated at the PBE level.

As for the symmetry: C2/m, No. 12. Its crystal system is monoclinic. As for the size of the total moment: 0.00 μB per formula unit.

Geometry as CIF:
```
data_PdN2O2
_chemical_formula_sum 'Pd1 N2 O2'
_cell_length_a 3.141
_cell_length_b 3.141
_cell_length_c 9.321
_cell_angle_alpha 79.97
_cell_angle_beta 79.97
_cell_angle_gamma 60.00
_symmetry_space_group_name_H-M 'P 1'
_symmetry_Int_Tables_number 1
_symmetry_space_group_name_Hall 'P 1'
loop_
_atom_site_label
_atom_site_type_symbol
_atom_site_fract_x
_atom_site_fract_y
_atom_site_fract_z
N1 N 0.521 0.521 0.439
O1 O 0.297 0.297 0.105
N2 N 0.479 0.479 0.561
Pd1 Pd 0.000 0.000 0.000
O2 O 0.703 0.703 0.895
```

***

Computed relative energies in units of meV per atom: w) 2386; x) 0

***

w) Below is a relaxed Pd2NO crystal, with properties calculated at the PBE level.

As for the symmetry: I-42d, No. 122. Its crystal system is tetragonal. As for the size of the total moment: 0.00 μB per formula unit.

Geometry as CIF:
```
data_Pd2NO
_chemical_formula_sum 'Pd4 N2 O2'
_cell_length_a 4.414
_cell_length_b 4.414
_cell_length_c 6.386
_cell_angle_alpha 69.78
_cell_angle_beta 69.78
_cell_angle_gamma 90.00
_symmetry_space_group_name_H-M 'P 1'
_symmetry_Int_Tables_number 1
_symmetry_space_group_name_Hall 'P 1'
loop_
_atom_site_label
_atom_site_type_symbol
_atom_site_fract_x
_atom_site_fract_y
_atom_site_fract_z
Pd1 Pd 0.170 0.625 0.250
O1 O 0.750 0.250 0.500
O2 O 0.000 0.000 0.000
Pd2 Pd 0.580 0.125 0.250
N1 N 0.250 0.750 0.500
Pd3 Pd 0.875 0.830 0.750
Pd4 Pd 0.375 0.420 0.750
N2 N 0.500 0.500 0.000
```

***

x) Below is a relaxed Pd2NO crystal, with properties calculated at the PBE level.

As for the symmetry: Fm-3m, No. 225. Its crystal system is cubic. As for the size of the total moment: 0.00 μB per formula unit.

Geometry as CIF:
```
data_Pd2NO
_chemical_formula_sum 'Pd2 N1 O1'
_cell_length_a 3.944
_cell_length_b 3.944
_cell_length_c 3.944
_cell_angle_alpha 60.00
_cell_angle_beta 60.00
_cell_angle_gamma 60.00
_symmetry_space_group_name_H-M 'P 1'
_symmetry_Int_Tables_number 1
_symmetry_space_group_name_Hall 'P 1'
loop_
_atom_site_label
_atom_site_type_symbol
_atom_site_fract_x
_atom_site_fract_y
_atom_site_fract_z
O1 O 0.500 0.500 0.500
N1 N 0.000 0.000 0.000
Pd1 Pd 0.750 0.750 0.750
Pd2 Pd 0.250 0.250 0.250
```

***

Computed relative energies in units of meV per atom: w) 0; x) 427

***

w) Below is a relaxed Pm4NO3 crystal, with properties calculated at the PBE level.

As for the symmetry: I4/mmm, No. 139. Its crystal system is tetragonal. As for the size of the total moment: 0.00 μB per formula unit.

Geometry as CIF:
```
data_Pm4NO3
_chemical_formula_sum 'Pm4 N1 O3'
_cell_length_a 5.020
_cell_length_b 5.020
_cell_length_c 6.159
_cell_angle_alpha 114.05
_cell_angle_beta 114.05
_cell_angle_gamma 90.00
_symmetry_space_group_name_H-M 'P 1'
_symmetry_Int_Tables_number 1
_symmetry_space_group_name_Hall 'P 1'
loop_
_atom_site_label
_atom_site_type_symbol
_atom_site_fract_x
_atom_site_fract_y
_atom_site_fract_z
N1 N 0.000 0.000 0.000
O1 O 0.250 0.750 0.500
O2 O 0.750 0.250 0.500
Pm1 Pm 0.500 0.000 0.000
Pm2 Pm 0.245 0.245 0.490
Pm3 Pm 0.755 0.755 0.510
O3 O 0.500 0.500 0.000
Pm4 Pm 0.000 0.500 0.000
```

***

x) Below is a relaxed Pm4NO3 crystal, with properties calculated at the PBE level.

As for the symmetry: Pm-3m, No. 221. Its crystal system is cubic. As for the size of the total moment: 0.00 μB per formula unit.

Geometry as CIF:
```
data_Pm4NO3
_chemical_formula_sum 'Pm4 N1 O3'
_cell_length_a 5.024
_cell_length_b 5.024
_cell_length_c 5.024
_cell_angle_alpha 90.00
_cell_angle_beta 90.00
_cell_angle_gamma 90.00
_symmetry_space_group_name_H-M 'P 1'
_symmetry_Int_Tables_number 1
_symmetry_space_group_name_Hall 'P 1'
loop_
_atom_site_label
_atom_site_type_symbol
_atom_site_fract_x
_atom_site_fract_y
_atom_site_fract_z
O1 O 0.500 0.000 0.500
O2 O 0.500 0.500 0.000
Pm1 Pm 0.500 0.500 0.500
N1 N 0.000 0.000 0.000
Pm2 Pm 0.000 0.000 0.500
Pm3 Pm 0.000 0.500 0.000
Pm4 Pm 0.500 0.000 0.000
O3 O 0.000 0.500 0.500
```

***

Computed relative energies in units of meV per atom: w) 0; x) 11

***

w) Below is a relaxed Pm2NO crystal, with properties calculated at the PBE level.

As for the symmetry: P4/mmm, No. 123. Its crystal system is tetragonal. As for the size of the total moment: 0.00 μB per formula unit.

Geometry as CIF:
```
data_Pm2NO
_chemical_formula_sum 'Pm2 N1 O1'
_cell_length_a 3.574
_cell_length_b 3.574
_cell_length_c 5.040
_cell_angle_alpha 90.00
_cell_angle_beta 90.00
_cell_angle_gamma 90.00
_symmetry_space_group_name_H-M 'P 1'
_symmetry_Int_Tables_number 1
_symmetry_space_group_name_Hall 'P 1'
loop_
_atom_site_label
_atom_site_type_symbol
_atom_site_fract_x
_atom_site_fract_y
_atom_site_fract_z
Pm1 Pm 0.000 0.000 0.500
O1 O 0.000 0.000 0.000
N1 N 0.500 0.500 0.500
Pm2 Pm 0.500 0.500 0.000
```

***

x) Below is a relaxed Pm2NO crystal, with properties calculated at the PBE level.

As for the symmetry: R-3m, No. 166. Its crystal system is trigonal. As for the size of the total moment: 0.00 μB per formula unit.

Geometry as CIF:
```
data_Pm2NO
_chemical_formula_sum 'Pm2 N1 O1'
_cell_length_a 3.562
_cell_length_b 3.562
_cell_length_c 6.226
_cell_angle_alpha 73.38
_cell_angle_beta 73.38
_cell_angle_gamma 60.00
_symmetry_space_group_name_H-M 'P 1'
_symmetry_Int_Tables_number 1
_symmetry_space_group_name_Hall 'P 1'
loop_
_atom_site_label
_atom_site_type_symbol
_atom_site_fract_x
_atom_site_fract_y
_atom_site_fract_z
Pm1 Pm 0.253 0.253 0.241
Pm2 Pm 0.747 0.747 0.759
N1 N 0.000 0.000 0.000
O1 O 0.500 0.500 0.500
```

***

Computed relative energies in units of meV per atom: w) 26; x) 0

***

w) Below is a relaxed Pr3NO2 crystal, with properties calculated at the PBE level.

As for the symmetry: Immm, No. 71. Its crystal system is orthorhombic. As for the size of the total moment: 0.00 μB per formula unit.

Geometry as CIF:
```
data_Pr3NO2
_chemical_formula_sum 'Pr3 N1 O2'
_cell_length_a 3.620
_cell_length_b 5.125
_cell_length_c 6.322
_cell_angle_alpha 113.91
_cell_angle_beta 106.64
_cell_angle_gamma 90.00
_symmetry_space_group_name_H-M 'P 1'
_symmetry_Int_Tables_number 1
_symmetry_space_group_name_Hall 'P 1'
loop_
_atom_site_label
_atom_site_type_symbol
_atom_site_fract_x
_atom_site_fract_y
_atom_site_fract_z
Pr1 Pr 0.162 0.662 0.823
O1 O 0.165 0.165 0.829
Pr2 Pr 0.838 0.338 0.177
N1 N 0.500 0.500 0.500
O2 O 0.835 0.835 0.171
Pr3 Pr 0.500 0.000 0.500
```

***

x) Below is a relaxed Pr3NO2 crystal, with properties calculated at the PBE level.

As for the symmetry: Pnma, No. 62. Its crystal system is orthorhombic. As for the size of the total moment: 0.00 μB per formula unit.

Geometry as CIF:
```
data_Pr3NO2
_chemical_formula_sum 'Pr12 N4 O8'
_cell_length_a 5.127
_cell_length_b 7.269
_cell_length_c 10.922
_cell_angle_alpha 90.00
_cell_angle_beta 90.00
_cell_angle_gamma 90.00
_symmetry_space_group_name_H-M 'P 1'
_symmetry_Int_Tables_number 1
_symmetry_space_group_name_Hall 'P 1'
loop_
_atom_site_label
_atom_site_type_symbol
_atom_site_fract_x
_atom_site_fract_y
_atom_site_fract_z
Pr1 Pr 0.250 0.625 0.251
O1 O 0.250 0.876 0.416
N1 N 0.250 0.873 0.082
Pr2 Pr 0.750 0.375 0.749
O2 O 0.250 0.376 0.084
O3 O 0.750 0.625 0.253
Pr3 Pr 0.750 0.878 0.081
Pr4 Pr 0.250 0.122 0.919
N2 N 0.750 0.627 0.582
O4 O 0.750 0.125 0.247
O5 O 0.250 0.375 0.747
Pr5 Pr 0.250 0.622 0.581
Pr6 Pr 0.750 0.378 0.419
O6 O 0.750 0.124 0.584
N3 N 0.750 0.127 0.918
O7 O 0.750 0.624 0.916
Pr7 Pr 0.750 0.872 0.419
N4 N 0.250 0.373 0.418
Pr8 Pr 0.750 0.875 0.751
Pr9 Pr 0.250 0.128 0.581
Pr10 Pr 0.250 0.125 0.249
O8 O 0.250 0.875 0.753
Pr11 Pr 0.750 0.372 0.081
Pr12 Pr 0.250 0.628 0.919
```

***

Computed relative energies in units of meV per atom: w) 0; x) 9

***

w) Below is a relaxed Pr4N3O crystal, with properties calculated at the PBE level.

As for the symmetry: Cmmm, No. 65. Its crystal system is orthorhombic. As for the size of the total moment: 0.00 μB per formula unit.

Geometry as CIF:
```
data_Pr4N3O
_chemical_formula_sum 'Pr4 N3 O1'
_cell_length_a 3.668
_cell_length_b 6.350
_cell_length_c 6.350
_cell_angle_alpha 70.63
_cell_angle_beta 90.00
_cell_angle_gamma 90.00
_symmetry_space_group_name_H-M 'P 1'
_symmetry_Int_Tables_number 1
_symmetry_space_group_name_Hall 'P 1'
loop_
_atom_site_label
_atom_site_type_symbol
_atom_site_fract_x
_atom_site_fract_y
_atom_site_fract_z
O1 O 0.500 0.500 0.000
N1 N 0.000 0.500 0.500
N2 N 0.000 0.000 0.000
Pr1 Pr 0.500 0.752 0.252
Pr2 Pr 0.000 0.245 0.255
Pr3 Pr 0.000 0.755 0.745
Pr4 Pr 0.500 0.249 0.748
N3 N 0.500 0.000 0.500
```

***

x) Below is a relaxed Pr4N3O crystal, with properties calculated at the PBE level.

As for the symmetry: Pm-3m, No. 221. Its crystal system is cubic. As for the size of the total moment: 0.00 μB per formula unit.

Geometry as CIF:
```
data_Pr4N3O
_chemical_formula_sum 'Pr4 N3 O1'
_cell_length_a 5.188
_cell_length_b 5.188
_cell_length_c 5.188
_cell_angle_alpha 90.00
_cell_angle_beta 90.00
_cell_angle_gamma 90.00
_symmetry_space_group_name_H-M 'P 1'
_symmetry_Int_Tables_number 1
_symmetry_space_group_name_Hall 'P 1'
loop_
_atom_site_label
_atom_site_type_symbol
_atom_site_fract_x
_atom_site_fract_y
_atom_site_fract_z
N1 N 0.500 0.500 0.000
Pr1 Pr 0.000 0.000 0.500
N2 N 0.000 0.500 0.500
O1 O 0.000 0.000 0.000
Pr2 Pr 0.500 0.000 0.000
N3 N 0.500 0.000 0.500
Pr3 Pr 0.000 0.500 0.000
Pr4 Pr 0.500 0.500 0.500
```

***

Computed relative energies in units of meV per atom: w) 0; x) 24